The following is a DFT calculation (GGA-PBE) of a relaxed Tl2ICl4 crystal.

## Properties
density of states at the Fermi level	0.561	states/eV/atom
energy relative to the elements, uncorrected	-3.69	eV/f.u.
V	476.9	Å³/cell

Lattice parameters (Å, degrees): 7.5472 7.5472 8.3717 90.00 90.00 90.00
Space group I4/mmm (No. 139)
Asymmetric unit:
Tl  0.0000  0.5000  0.2500 [4 per cell]
I  0.0000  0.0000  0.0000 [2 per cell]
Cl  0.2412  0.2412  0.5000 [8 per cell]

---

The following is a DFT calculation (GGA-PBE) of a relaxed Sm2MgAs4Pd3 crystal.

## Properties
energy of formation from the pure elements	-0.831	eV/atom
density of states at the Fermi level	0.459	states/eV/atom
V	198.6	Å³/cell

Lattice parameters (Å, degrees): 4.2019 4.2019 11.2479 90.00 90.00 90.00
Space group P-4m2 (No. 115)
Asymmetric unit:
Sm  0.0000  0.5000  0.2472 [2 per cell]
Mg  0.0000  0.0000  0.5000 [1 per cell]
As  0.0000  0.0000  0.0000 [1 per cell]
As  0.0000  0.5000  0.6463 [2 per cell]
As  0.5000  0.5000  0.0000 [1 per cell]
Pd  0.0000  0.5000  0.8647 [2 per cell]
Pd  0.5000  0.5000  0.5000 [1 per cell]

---

The following is a DFT calculation (GGA-PBE) of a relaxed Ce3PuGa crystal.

## Properties
energy of formation from the pure elements	-0.148	eV/atom
density of states at the Fermi level	1.906	states/eV/atom
energy above the most stable polymorph in this dataset	0.00	eV per formula unit
V	490.2	Å³/cell

Lattice parameters (Å, degrees): 8.1660 9.9698 6.0208 90.00 90.00 90.00
Space group Pnma (No. 62)
Asymmetric unit:
Ce  0.0602  0.2500  0.1378 [4 per cell]
Ce  0.1964  0.0471  0.5935 [8 per cell]
Pu  0.0000  0.0000  0.0000 [4 per cell]
Ga  0.0880  0.7500  0.3575 [4 per cell]

---

The following is a DFT calculation (GGA-PBE) of a relaxed TaCrP2 crystal.

## Properties
energy of formation from the pure elements	-0.289	eV/atom
density of states at the Fermi level	0.530	states/eV/atom
energy above the most stable polymorph in this dataset	1.42	eV per formula unit
V	53.0	Å³/cell

Lattice parameters (Å, degrees): 2.9494 2.9494 6.0913 90.00 90.00 90.00
Space group P4/mmm (No. 123)
Asymmetric unit:
Ta  0.0000  0.0000  0.0000 [1 per cell]
Cr  0.0000  0.0000  0.5000 [1 per cell]
P  0.5000  0.5000  0.2770 [2 per cell]

---

The following is a DFT calculation (GGA-PBE) of a relaxed Cs4Rb5Hg4 crystal.

## Properties
energy of formation from the pure elements	-0.142	eV/atom
density of states at the Fermi level	0.550	states/eV/atom
V	1651.7	Å³/cell

Lattice parameters (Å, degrees): 17.7902 17.7902 5.2187 90.00 90.00 90.00
Space group I4/m (No. 87)
Asymmetric unit:
Cs  0.1076  0.3708  0.0000 [8 per cell]
Rb  0.0000  0.0000  0.5000 [2 per cell]
Rb  0.1238  0.8317  0.0000 [8 per cell]
Hg  0.0304  0.2237  0.5000 [8 per cell]

---

The following is a DFT calculation (GGA-PBE) of a relaxed PmNiBi2 crystal.

## Properties
energy of formation from the pure elements	0.073	eV/atom
density of states at the Fermi level	0.961	states/eV/atom
energy above the most stable polymorph in this dataset	1.05	eV per formula unit
V	331.0	Å³/cell

Lattice parameters (Å, degrees): 3.5535 3.5535 30.2720 90.00 90.00 120.00
Space group R-3m (No. 166, hexagonal axes)
Asymmetric unit:
Pm  0.0000  0.0000  0.0000 [3 per cell]
Ni  0.0000  0.0000  0.5000 [3 per cell]
Bi  0.0000  0.0000  0.1079 [6 per cell]

---

The following is a DFT calculation (GGA-PBE) of a relaxed Na5CeO4 crystal.

## Properties
density of states at the Fermi level	0.181	states/eV/atom
energy relative to the elements, uncorrected	-18.29	eV/f.u.
V	349.6	Å³/cell

Lattice parameters (Å, degrees): 14.5454 3.5517 6.8782 90.00 100.35 90.00
Space group C2/m (No. 12)
Asymmetric unit:
Na  0.0000  0.0000  0.0000 [2 per cell]
Na  0.1613  0.5000  0.7992 [4 per cell]
Na  0.1768  0.5000  0.3652 [4 per cell]
Ce  0.0000  0.0000  0.5000 [2 per cell]
O  0.0053  0.5000  0.2760 [4 per cell]
O  0.1527  0.0000  0.5750 [4 per cell]

---

The following is a DFT calculation (GGA-PBE) of a relaxed RbTaCu2Cl8 crystal.

## Properties
energy relative to the elements, uncorrected	-12.56	eV/f.u.
V	1088.9	Å³/cell

Lattice parameters (Å, degrees): 6.0615 6.0615 34.2223 90.00 90.00 120.00
Space group R32 (No. 155, hexagonal axes)
Asymmetric unit:
Rb  0.0000  0.0000  0.0000 [3 per cell]
Ta  0.0000  0.0000  0.5000 [3 per cell]
Cu  0.0000  0.0000  0.2409 [6 per cell]
Cl  0.0000  0.0000  0.3044 [6 per cell]
Cl  0.0050  0.3065  0.5450 [18 per cell]

---

The following is a DFT calculation (GGA-PBE) of a relaxed LiHfMg2S4 crystal.

## Properties
density of states at the Fermi level	0.180	states/eV/atom
energy relative to the elements, uncorrected	-11.17	eV/f.u.
V	140.5	Å³/cell

Lattice parameters (Å, degrees): 6.4013 3.5938 6.4160 90.00 107.84 90.00
Space group P2/m (No. 10)
Asymmetric unit:
Li  0.0000  0.0000  0.0000 [1 per cell]
Hf  0.0000  0.5000  0.5000 [1 per cell]
Mg  0.5000  0.0000  0.5000 [1 per cell]
Mg  0.5000  0.5000  0.0000 [1 per cell]
S  0.2501  0.0000  0.7521 [2 per cell]
S  0.2528  0.5000  0.2583 [2 per cell]

---

The following is a DFT calculation (GGA-PBE) of a relaxed RbSiAs2Se crystal.

## Properties
density of states at the Fermi level	1.059	states/eV/atom
energy relative to the elements, uncorrected	0.74	eV/f.u.
energy above the most stable polymorph in this dataset	0.00	eV per formula unit
V	128.4	Å³/cell

Lattice parameters (Å, degrees): 4.9400 4.9400 5.2601 90.00 90.00 90.00
Space group P4/mmm (No. 123)
Asymmetric unit:
Rb  0.0000  0.0000  0.0000 [1 per cell]
Si  0.5000  0.5000  0.5000 [1 per cell]
As  0.0000  0.5000  0.5000 [2 per cell]
Se  0.5000  0.5000  0.0000 [1 per cell]

---

The following is a DFT calculation (GGA-PBE) of a relaxed CaY2Tc crystal.

## Properties
energy of formation from the pure elements	0.501	eV/atom
density of states at the Fermi level	1.043	states/eV/atom
energy above the most stable polymorph in this dataset	1.95	eV per formula unit
V	203.0	Å³/cell

Lattice parameters (Å, degrees): 6.6292 10.2838 3.2676 90.00 114.31 90.00
Space group C2/m (No. 12)
Asymmetric unit:
Ca  0.0000  0.0000  0.0000 [2 per cell]
Y  0.2500  0.2500  0.5000 [4 per cell]
Tc  0.0000  0.5000  0.0000 [2 per cell]

---

The following is a DFT calculation (GGA-PBE) of a relaxed Ca2CdSbRh crystal.

## Properties
density of states at the Fermi level	1.111	states/eV/atom
energy relative to the elements, uncorrected	3.15	eV/f.u.
V	166.7	Å³/cell

Lattice parameters (Å, degrees): 5.6808 5.6808 5.1662 90.00 90.00 90.00
Space group P4/mmm (No. 123)
Asymmetric unit:
Ca  0.0000  0.5000  0.0000 [2 per cell]
Cd  0.0000  0.0000  0.0000 [1 per cell]
Sb  0.0000  0.0000  0.5000 [1 per cell]
Rh  0.5000  0.5000  0.5000 [1 per cell]

---

The following is a DFT calculation (GGA-PBE) of a relaxed LaTb2Er3 crystal.

## Properties
energy of formation from the pure elements	0.017	eV/atom
density of states at the Fermi level	1.079	states/eV/atom
energy above the most stable polymorph in this dataset	0.00	eV per formula unit
V	771.3	Å³/cell

Lattice parameters (Å, degrees): 3.5884 18.5769 11.5700 90.00 90.00 90.00
Space group Cmcm (No. 63)
Asymmetric unit:
La  0.0000  0.2208  0.2500 [4 per cell]
Tb  0.0000  0.0000  0.0000 [4 per cell]
Tb  0.0000  0.4462  0.7500 [4 per cell]
Er  0.0000  0.1088  0.7500 [4 per cell]
Er  0.0000  0.3347  0.0046 [8 per cell]

---

The following is a DFT calculation (GGA-PBE) of a relaxed CeVRu2 crystal.

## Properties
energy of formation from the pure elements	-0.256	eV/atom
density of states at the Fermi level	1.482	states/eV/atom
V	66.4	Å³/cell

Lattice parameters (Å, degrees): 3.0237 3.0237 7.2574 90.00 90.00 90.00
Space group P4/mmm (No. 123)
Asymmetric unit:
Ce  0.0000  0.0000  0.0000 [1 per cell]
V  0.0000  0.0000  0.5000 [1 per cell]
Ru  0.5000  0.5000  0.3013 [2 per cell]

---

The following is a DFT calculation (GGA-PBE) of a relaxed CsLi3Pb4Br12 crystal.

## Properties
density of states at the Fermi level	0.000	states/eV/atom
energy relative to the elements, uncorrected	-23.08	eV/f.u.
V	1382.5	Å³/cell

Lattice parameters (Å, degrees): 11.1400 11.1400 11.1400 90.00 90.00 90.00
Space group Im-3 (No. 204)
Asymmetric unit:
Cs  0.0000  0.0000  0.0000 [2 per cell]
Li  0.0000  0.0000  0.5000 [6 per cell]
Pb  0.2500  0.2500  0.2500 [8 per cell]
Br  0.0000  0.1661  0.3224 [24 per cell]

---

The following is a DFT calculation (GGA-PBE) of a relaxed Ca5Tl6Zn crystal.

## Properties
energy of formation from the pure elements	-0.331	eV/atom
density of states at the Fermi level	0.446	states/eV/atom
V	676.7	Å³/cell

Lattice parameters (Å, degrees): 9.4086 16.1621 5.4613 90.00 125.42 90.00
Space group C2/m (No. 12)
Asymmetric unit:
Ca  0.0000  0.0000  0.0000 [2 per cell]
Ca  0.0000  0.1642  0.5000 [4 per cell]
Ca  0.0000  0.3270  0.0000 [4 per cell]
Tl  0.2252  0.5000  0.2241 [4 per cell]
Tl  0.2327  0.3419  0.7327 [8 per cell]
Zn  0.0000  0.5000  0.5000 [2 per cell]

---

The following is a DFT calculation (GGA-PBE) of a relaxed KPIr2 crystal.

## Properties
energy of formation from the pure elements	0.320	eV/atom
density of states at the Fermi level	0.482	states/eV/atom
V	154.5	Å³/cell

Lattice parameters (Å, degrees): 2.8878 5.5542 9.6310 90.00 90.00 90.00
Space group Immm (No. 71)
Asymmetric unit:
K  0.0000  0.0000  0.0000 [2 per cell]
P  0.0000  0.0000  0.5000 [2 per cell]
Ir  0.0000  0.5000  0.1803 [4 per cell]

---

The following is a DFT calculation (GGA-PBE) of a relaxed RbAg4Sn4 crystal.

## Properties
energy of formation from the pure elements	-0.006	eV/atom
density of states at the Fermi level	0.308	states/eV/atom
energy above the most stable polymorph in this dataset	0.19	eV per formula unit
V	520.0	Å³/cell

Lattice parameters (Å, degrees): 9.6705 9.6705 5.5600 90.00 90.00 90.00
Space group P4_2/n (No. 86, origin choice 2)
Asymmetric unit:
Rb  0.2500  0.2500  0.2500 [2 per cell]
Ag  0.0655  0.9131  0.1733 [8 per cell]
Sn  0.1252  0.8735  0.6687 [8 per cell]

---

The following is a DFT calculation (GGA-PBE) of a relaxed La2GaPd crystal.

## Properties
energy of formation from the pure elements	-0.671	eV/atom
density of states at the Fermi level	1.012	states/eV/atom
V	215.2	Å³/cell

Lattice parameters (Å, degrees): 5.7240 4.5614 8.4655 90.00 103.15 90.00
Space group P2_1/m (No. 11)
Asymmetric unit:
La  0.2122  0.2500  0.4354 [2 per cell]
La  0.2791  0.7500  0.0794 [2 per cell]
Ga  0.3467  0.7500  0.7210 [2 per cell]
Pd  0.1571  0.2500  0.7920 [2 per cell]

---

The following is a DFT calculation (GGA-PBE) of a relaxed CeSmGd2 crystal.

## Properties
energy of formation from the pure elements	0.061	eV/atom
density of states at the Fermi level	2.088	states/eV/atom
energy above the most stable polymorph in this dataset	0.00	eV per formula unit
V	127.1	Å³/cell

Lattice parameters (Å, degrees): 3.5480 3.5480 10.0959 90.00 90.00 90.00
Space group P4/mmm (No. 123)
Asymmetric unit:
Ce  0.0000  0.0000  0.0000 [1 per cell]
Sm  0.0000  0.0000  0.5000 [1 per cell]
Gd  0.5000  0.5000  0.2398 [2 per cell]